Entry 1:
The following is a DFT calculation (GGA-PBE) of crystalline BaAl2Sb at its relaxed geometry.

abc: 3.8757 3.8758 7.4435
angles: 90.00 90.00 90.00
Fractional coordinates of all 4 atoms:
Sb (0.5000, 0.5000, 0.7500)
Ba (0.5000, 0.5000, 0.2500)
Al (0.0000, 0.0000, 0.9300)
Al (0.0000, 0.0000, 0.5700)

Uncorrected formation energy ... -152 meV/atom

Entry 2:
The following is a DFT calculation (GGA-PBE) of crystalline AlTl3C at its relaxed geometry.

abc: 5.0227 5.0227 5.0227
angles: 90.00 90.00 90.00
Fractional coordinates of all 5 atoms:
C (0.0000, 0.0000, 0.0000)
Tl (0.0000, 0.5000, 0.0000)
Tl (0.0000, 0.0000, 0.5000)
Tl (0.5000, 0.0000, 0.0000)
Al (0.5000, 0.5000, 0.5000)

Formation energy from the elements ... 1.099 eV/atom

Entry 3:
The following is a DFT calculation (GGA-PBE) of crystalline CrSeBr at its relaxed geometry.

abc: 8.2050 7.6703 3.8516
angles: 83.83 68.35 27.82
Last column: magnetic moment on the atom in μB.
Fractional coordinates of all 3 atoms:
Br (0.0499, 0.0499, 0.9501)  0.00
Cr (0.6718, 0.6718, 0.3282)  3.21
Se (0.2783, 0.2783, 0.7217)  -0.35

Uncorrected formation energy ... -291 meV/atom

Entry 4:
The following is a DFT calculation (GGA-PBE) of crystalline Ba3GaBr3 at its relaxed geometry.

abc: 11.8038 11.8038 11.8038
angles: 109.47 109.47 109.47
Last column: magnetic moment on the atom in μB.
Fractional coordinates of all 28 atoms:
Ba (0.0020, 0.5010, 0.2510)  0.05
Ba (0.4990, 0.9980, 0.2490)  0.05
Ba (0.2500, 0.9990, 0.5010)  0.05
Ba (0.0010, 0.7500, 0.9990)  0.05
Ba (0.0010, 0.2510, 0.5020)  0.05
Ba (0.7490, 0.9990, 0.9980)  0.05
Ba (0.7510, 0.5020, 0.5010)  0.05
Ba (0.7490, 0.7500, 0.2510)  0.05
Ba (0.4980, 0.2490, 0.9990)  0.05
Ba (0.2500, 0.2510, 0.2490)  0.05
Ba (0.7510, 0.2490, 0.7500)  0.05
Ba (0.4990, 0.5010, 0.7500)  0.05
Ga (0.7500, 0.5000, 0.0000)  0.18
Ga (0.5000, 0.2500, 0.5000)  0.18
Ga (0.7500, 0.2500, 0.2500)  0.18
Ga (0.0000, 0.0000, 0.2500)  0.18
Br (0.2556, 0.0056, 0.0111)  0.00
Br (0.7500, 0.7444, 0.7556)  0.00
Br (0.5111, 0.7556, 0.0056)  0.00
Br (0.9944, 0.2500, 0.0056)  0.00
Br (0.2444, 0.7556, 0.2500)  0.00
Br (0.5056, 0.4944, 0.2500)  0.00
Br (0.2556, 0.2500, 0.7444)  0.00
Br (0.2444, 0.4889, 0.4944)  0.00
Br (0.7500, 0.0056, 0.4944)  0.00
Br (0.9889, 0.4944, 0.7444)  0.00
Br (0.9944, 0.7444, 0.4889)  0.00
Br (0.5056, 0.0111, 0.7556)  0.00

Uncorrected formation energy ... -1434 meV/atom

Entry 5:
The following is a DFT calculation (GGA-PBE) of crystalline LaNiOs2 at its relaxed geometry.

abc: 2.7631 3.7322 6.8522
angles: 90.00 90.00 90.00
Fractional coordinates of all 4 atoms:
La (0.5000, 0.5000, 0.2500)
Ni (0.5000, 0.5000, 0.7500)
Os (0.0000, 0.0000, 0.9291)
Os (0.0000, 0.0000, 0.5709)

Formation energy from the elements ... 0.449 eV/atom

Entry 6:
The following is a DFT calculation (GGA-PBE) of crystalline PuNpS4 at its relaxed geometry.

abc: 4.1275 6.2430 6.2430
angles: 90.55 90.00 90.00
Last column: magnetic moment on the atom in μB.
Fractional coordinates of all 6 atoms:
Pu (0.5000, 0.0000, 0.0000)  -4.75
Np (0.0000, 0.5000, 0.5000)  3.02
S (0.0000, 0.1958, 0.1958)  0.06
S (0.0000, 0.8042, 0.8042)  0.06
S (0.5000, 0.6880, 0.3120)  -0.07
S (0.5000, 0.3120, 0.6880)  -0.07

Uncorrected formation energy ... -1212 meV/atom

Entry 7:
The following is a DFT calculation (GGA-PBE) of crystalline PuVI6 at its relaxed geometry.

abc: 7.2127 7.8529 7.8529
angles: 125.15 98.19 98.19
Last column: magnetic moment on the atom in μB.
Fractional coordinates of all 8 atoms:
Pu (0.0000, 0.0000, 0.0000)  5.02
V (0.5000, 0.5000, 0.5000)  -2.09
I (0.7298, 0.5801, 0.8706)  -0.03
I (0.7298, 0.8706, 0.5801)  -0.03
I (0.2702, 0.1294, 0.4199)  -0.03
I (0.2702, 0.4199, 0.1294)  -0.03
I (0.7365, 0.2578, 0.2578)  -0.01
I (0.2635, 0.7422, 0.7422)  -0.01

Uncorrected formation energy ... -685 meV/atom

Entry 8:
The following is a DFT calculation (GGA-PBE) of crystalline NaTl2AgCl8 at its relaxed geometry.

abc: 7.8237 7.8237 7.8237
angles: 107.97 107.97 112.53
Fractional coordinates of all 12 atoms:
Na (0.2500, 0.7500, 0.5000)
Tl (0.7500, 0.2500, 0.5000)
Tl (0.5000, 0.5000, 0.0000)
Ag (0.0000, 0.0000, 0.0000)
Cl (0.3561, 0.0602, 0.2958)
Cl (0.3079, 0.5049, 0.1971)
Cl (0.3079, 0.1108, 0.8029)
Cl (0.7644, 0.0602, 0.7042)
Cl (0.8892, 0.6921, 0.1971)
Cl (0.9398, 0.2356, 0.2958)
Cl (0.9398, 0.6439, 0.7042)
Cl (0.4951, 0.6921, 0.8029)

Uncorrected formation energy ... -767 meV/atom

Entry 9:
The following is a DFT calculation (GGA-PBE) of crystalline BaMn2Cr at its relaxed geometry.

abc: 3.1758 3.1775 8.1198
angles: 90.00 90.00 90.00
Last column: magnetic moment on the atom in μB.
Fractional coordinates of all 4 atoms:
Ba (0.5000, 0.5000, 0.2500)  -0.08
Cr (0.5000, 0.5000, 0.7500)  -2.33
Mn (0.0000, 0.0000, 0.9125)  3.46
Mn (0.0000, 0.0000, 0.5875)  3.46

Formation energy from the elements ... 0.583 eV/atom

Entry 10:
The following is a DFT calculation (GGA-PBE) of crystalline Ca3Sm2YSe6 at its relaxed geometry.

abc: 7.1736 7.1736 7.3008
angles: 99.46 99.46 119.94
Fractional coordinates of all 12 atoms:
Ca (0.1680, 0.8320, 0.5000)
Ca (0.8320, 0.1680, 0.5000)
Ca (0.5000, 0.5000, 0.5000)
Sm (0.3339, 0.6661, 0.0000)
Sm (0.6661, 0.3339, 0.0000)
Y (0.0000, 0.0000, 0.0000)
Se (0.9168, 0.5879, 0.7497)
Se (0.7552, 0.7552, 0.2511)
Se (0.0832, 0.4121, 0.2503)
Se (0.5879, 0.9168, 0.7497)
Se (0.2448, 0.2448, 0.7489)
Se (0.4121, 0.0832, 0.2503)

Uncorrected formation energy ... -1894 meV/atom

Entry 11:
The following is a DFT calculation (GGA-PBE) of crystalline Sc4TlRh at its relaxed geometry.

abc: 5.1681 6.2357 8.9422
angles: 90.00 115.01 90.00
Fractional coordinates of all 12 atoms:
Sc (0.5850, 0.2500, 0.4396)
Sc (0.4150, 0.7500, 0.5604)
Sc (0.6428, 0.2500, 0.8597)
Sc (0.3572, 0.7500, 0.1403)
Sc (0.9353, 0.0083, 0.2540)
Sc (0.0647, 0.5083, 0.7460)
Sc (0.9353, 0.4917, 0.2540)
Sc (0.0647, 0.9917, 0.7460)
Tl (0.3023, 0.2500, 0.0755)
Tl (0.6977, 0.7500, 0.9245)
Rh (0.1743, 0.2500, 0.5369)
Rh (0.8257, 0.7500, 0.4631)

Formation energy from the elements ... -0.455 eV/atom

Entry 12:
The following is a DFT calculation (GGA-PBE) of crystalline BeCo2Br at its relaxed geometry.

abc: 3.1530 3.4546 5.9134
angles: 90.04 90.00 90.00
Last column: magnetic moment on the atom in μB.
Fractional coordinates of all 4 atoms:
Be (0.0000, 0.5001, 0.4494)  -0.05
Co (0.0000, 0.9998, 0.1938)  1.75
Co (0.5000, 0.4997, 0.1421)  1.70
Br (0.5000, 0.5005, 0.7146)  0.01

Uncorrected formation energy ... 327 meV/atom

Entry 13:
The following is a DFT calculation (GGA-PBE) of crystalline RbSiCl2 at its relaxed geometry.

abc: 6.0826 6.0826 9.1439
angles: 70.57 70.57 90.00
Last column: magnetic moment on the atom in μB.
Fractional coordinates of all 8 atoms:
Si (0.5000, 0.5000, 0.0000)  0.28
Si (0.2500, 0.7500, 0.5000)  0.28
Rb (0.0000, 0.0000, 0.0000)  0.01
Rb (0.7500, 0.2500, 0.5000)  0.01
Cl (0.5312, 0.1250, 0.2500)  0.01
Cl (0.2188, 0.6250, 0.2500)  0.01
Cl (0.3750, 0.4688, 0.7500)  0.01
Cl (0.8750, 0.7812, 0.7500)  0.02

Uncorrected formation energy ... -577 meV/atom

Entry 14:
The following is a DFT calculation (GGA-PBE) of crystalline Ba2Cd2Si at its relaxed geometry.

abc: 7.7234 7.7234 5.4040
angles: 90.00 90.00 90.00
Fractional coordinates of all 10 atoms:
Si (0.0000, 0.0000, 0.0000)
Si (0.5000, 0.5000, 0.0000)
Ba (0.1855, 0.6855, 0.5000)
Ba (0.6855, 0.8145, 0.5000)
Ba (0.8145, 0.3145, 0.5000)
Ba (0.3145, 0.1855, 0.5000)
Cd (0.3700, 0.8700, 0.0000)
Cd (0.8700, 0.6300, 0.0000)
Cd (0.6300, 0.1300, 0.0000)
Cd (0.1300, 0.3700, 0.0000)

Uncorrected formation energy ... -106 meV/atom

Entry 15:
The following is a DFT calculation (GGA-PBE) of crystalline PuPaBiN2 at its relaxed geometry.

abc: 3.9512 3.9512 7.0821
angles: 106.20 106.20 90.00
Last column: magnetic moment on the atom in μB.
Fractional coordinates of all 5 atoms:
Pu (0.8393, 0.8393, 0.6786)  4.70
Pa (0.1683, 0.1683, 0.3366)  0.07
Bi (0.4999, 0.4999, 0.9999)  -0.11
N (0.7462, 0.2462, 0.4925)  -0.09
N (0.2462, 0.7462, 0.4925)  -0.09

Uncorrected formation energy ... -1275 meV/atom

Entry 16:
The following is a DFT calculation (GGA-PBE) of crystalline TlW2Au at its relaxed geometry.

abc: 2.8511 2.8511 9.2099
angles: 90.00 90.00 104.60
Fractional coordinates of all 4 atoms:
Au (0.5000, 0.5000, 0.2500)
Tl (0.5000, 0.5000, 0.7500)
W (0.0000, 0.0000, 0.0098)
W (0.0000, 0.0000, 0.4902)

Formation energy from the elements ... 0.881 eV/atom

Entry 17:
The following is a DFT calculation (GGA-PBE) of crystalline CaNi2Cl at its relaxed geometry.

abc: 8.1503 8.1503 8.1503
angles: 22.82 22.82 22.82
Last column: magnetic moment on the atom in μB.
Fractional coordinates of all 4 atoms:
Ni (0.0114, 0.0114, 0.0114)  0.23
Ni (0.4886, 0.4886, 0.4886)  0.23
Ca (0.2500, 0.2500, 0.2500)  -0.03
Cl (0.7500, 0.7500, 0.7500)  0.05

Uncorrected formation energy ... 326 meV/atom

Entry 18:
The following is a DFT calculation (GGA-PBE) of crystalline CsPm2Br7 at its relaxed geometry.

abc: 5.7727 8.7482 8.7482
angles: 116.61 90.00 90.00
Fractional coordinates of all 10 atoms:
Cs (0.0000, 0.0000, 0.0000)
Pm (0.5000, 0.6972, 0.3028)
Pm (0.5000, 0.3028, 0.6972)
Br (0.0000, 0.7055, 0.2945)
Br (0.0000, 0.2945, 0.7055)
Br (0.5000, 0.0482, 0.3275)
Br (0.5000, 0.9518, 0.6725)
Br (0.5000, 0.3275, 0.0482)
Br (0.5000, 0.6725, 0.9518)
Br (0.5000, 0.5000, 0.5000)

Uncorrected formation energy ... -1866 meV/atom

Entry 19:
The following is a DFT calculation (GGA-PBE) of crystalline Ga3FeNi6 at its relaxed geometry.

abc: 4.1508 6.8348 9.1360
angles: 113.85 90.00 90.00
Last column: magnetic moment on the atom in μB.
Fractional coordinates of all 20 atoms:
Ga (0.2500, 0.5521, 0.3758)  -0.02
Ga (0.7500, 0.4479, 0.6242)  -0.02
Ga (0.2500, 0.3515, 0.7754)  -0.02
Ga (0.7500, 0.6485, 0.2246)  -0.02
Ga (0.2500, 0.7800, 0.9765)  -0.01
Ga (0.7500, 0.2200, 0.0235)  -0.01
Fe (0.2500, 0.9585, 0.5697)  2.66
Fe (0.7500, 0.0415, 0.4303)  2.66
Ni (0.2500, 0.4659, 0.0736)  0.00
Ni (0.7500, 0.5341, 0.9264)  0.00
Ni (0.2500, 0.1639, 0.1741)  0.13
Ni (0.7500, 0.8361, 0.8259)  0.13
Ni (0.2500, 0.6658, 0.6743)  0.14
Ni (0.7500, 0.3342, 0.3257)  0.14
Ni (0.2500, 0.2596, 0.4733)  0.30
Ni (0.7500, 0.7404, 0.5267)  0.30
Ni (0.2500, 0.8695, 0.2759)  0.28
Ni (0.7500, 0.1305, 0.7241)  0.28
Ni (0.2500, 0.0621, 0.8675)  0.16
Ni (0.7500, 0.9379, 0.1325)  0.16

Formation energy from the elements ... -0.250 eV/atom

Entry 20:
The following is a DFT calculation (GGA-PBE) of crystalline Th2CdGa4Cu3 at its relaxed geometry.

abc: 4.2510 4.2510 10.5184
angles: 90.00 90.00 90.00
Fractional coordinates of all 10 atoms:
Th (0.5000, 0.0000, 0.2371)
Th (0.0000, 0.5000, 0.7629)
Cd (0.5000, 0.5000, 0.5000)
Ga (0.5000, 0.5000, 0.0000)
Ga (0.0000, 0.0000, 0.0000)
Ga (0.5000, 0.0000, 0.6494)
Ga (0.0000, 0.5000, 0.3506)
Cu (0.0000, 0.0000, 0.5000)
Cu (0.5000, 0.0000, 0.8766)
Cu (0.0000, 0.5000, 0.1234)

Formation energy from the elements ... -0.398 eV/atom